Density functional theory data (PBE) for a relaxed structure of SrClF.

abc: 4.1639 4.1639 7.0620
angles: 90.00 90.00 90.00
Positions (direct):
Sr 0.2500 0.2500 0.2011
Sr 0.7500 0.7500 0.7989
Cl 0.2500 0.2500 0.6439
Cl 0.7500 0.7500 0.3561
F 0.2500 0.7500 0.0000
F 0.7500 0.2500 0.0000

Results
Its formation energy without anion corrections is -3.25 eV per atom. The energy above the lowest structure with this stoichiometry is 0.000 eV/atom.